Entry w
KLi2Sc: relaxed, GGA-PBE.

## Properties
Total magnetic moment ... 0.3 Bohr magnetons per cell

Unit cell a=3.7212 b=3.5715 c=9.6595 alpha=68.43 beta=90.00 gamma=90.00
With the nearest neighbours (Å) after each atom.
Element x y z (fractional)
K  0.5000  0.7500  0.7500  4 K 3.57-3.72, 8 Li 3.77-3.78
Li  0.0000  0.9427  0.0565  4 Sc 3.11, 1 Li 3.48
Li  0.0000  0.5573  0.4435  4 Sc 3.11, 1 Li 3.48
Sc  0.5000  0.2500  0.2500  8 Li 3.11

Entry x
KLi2Sc: relaxed, GGA-PBE.

## Properties
Total magnetic moment ... 0.2 Bohr magnetons per cell

Unit cell a=6.3230 b=6.3230 c=5.9914 alpha=76.04 beta=76.04 gamma=29.69
With the nearest neighbours (Å) after each atom.
Element x y z (fractional)
K  0.7296  0.7296  0.8078  2 K 3.24, 7 Li 3.36-3.48
Li  0.9714  0.9714  0.9781  4 Li 3.10-3.24, 2 Sc 3.32, 3 K 3.36-3.47
Li  0.2759  0.2759  0.2897  4 Li 3.10-3.24, 3 Sc 3.31-3.40, 2 K 3.42
Sc  0.5230  0.5230  0.4243  2 Sc 3.24, 7 Li 3.31-3.60

Q: Which of them is the most stable? A: entry w.

Entry w
KLiSc2: relaxed, GGA-PBE.

## Properties
Total magnetic moment ... 0.0 Bohr magnetons per cell

Unit cell a=5.5456 b=5.5456 c=5.5456 alpha=60.00 beta=60.00 gamma=60.00
With the nearest neighbours (Å) after each atom.
Element x y z (fractional)
K  0.5000  0.5000  0.5000  4 Li 3.40, 4 Sc 3.40
Li  0.7500  0.7500  0.7500  4 K 3.40, 4 Sc 3.40
Sc  0.0000  0.0000  0.0000  4 Li 3.40, 4 Sc 3.40
Sc  0.2500  0.2500  0.2500  4 K 3.40, 4 Sc 3.40

Entry x
KLiSc2: relaxed, GGA-PBE.

## Properties
Total magnetic moment ... 1.6 Bohr magnetons per cell

Unit cell a=7.0887 b=7.0887 c=7.0887 alpha=152.72 beta=133.04 gamma=55.16
With the nearest neighbours (Å) after each atom.
Element x y z (fractional)
K  0.2500  0.7500  0.5000  4 Li 3.28, 2 K 3.34
Li  0.7500  0.2500  0.5000  4 K 3.28, 4 Sc 3.32, 2 Li 3.34
Sc  0.9779  0.9779  0.0000  2 Li 3.32, 6 Sc 3.33-3.34
Sc  0.5221  0.5221  0.0000  2 Li 3.32, 6 Sc 3.33-3.34

Q: Which of them is the most stable? A: entry x.

Entry w
KLiSc2: relaxed, GGA-PBE.

## Properties
Total magnetic moment ... 0.5 Bohr magnetons per cell

Unit cell a=6.9295 b=6.9295 c=3.0938 alpha=90.00 beta=90.00 gamma=127.16
With the nearest neighbours (Å) after each atom.
Element x y z (fractional)
K  0.5000  0.0000  0.5000  2 Li 3.08, 2 K 3.09
Li  0.0000  0.5000  0.5000  2 K 3.08, 2 Li 3.09
Sc  0.0000  0.0000  0.0000  4 Sc 3.08-3.09
Sc  0.5000  0.5000  0.0000  4 Sc 3.08-3.09

Entry x
KLiSc2: relaxed, GGA-PBE.

## Properties
Total magnetic moment ... 1.2 Bohr magnetons per cell

Unit cell a=5.5892 b=5.5892 c=7.5055 alpha=85.82 beta=85.82 gamma=33.58
With the nearest neighbours (Å) after each atom.
Element x y z (fractional)
K  0.5029  0.5029  0.4891  2 K 3.23, 1 Li 3.61
Li  0.2559  0.2559  0.1874  5 Sc 3.09-3.37, 2 Li 3.23
Sc  0.0032  0.0032  0.9839  5 Sc 3.11-3.23, 3 Li 3.21-3.37
Sc  0.7380  0.7380  0.8397  2 Li 3.09, 5 Sc 3.11-3.23

Q: Which of them is the most stable? A: entry x.

Entry w
KLiSc2: relaxed, GGA-PBE.

## Properties
Total magnetic moment ... 0.5 Bohr magnetons per cell

Unit cell a=12.1590 b=12.1590 c=12.1590 alpha=15.68 beta=15.68 gamma=15.68
With the nearest neighbours (Å) after each atom.
Element x y z (fractional)
K  0.2500  0.2500  0.2500  6 K 3.32
Li  0.7500  0.7500  0.7500  6 Sc 3.18, 6 Li 3.32
Sc  0.0129  0.0129  0.0129  3 Li 3.18, 6 Sc 3.32
Sc  0.4871  0.4871  0.4871  3 Li 3.18, 6 Sc 3.32

Entry x
KLiSc2: relaxed, GGA-PBE.

## Properties
Total magnetic moment ... 1.1 Bohr magnetons per cell

Unit cell a=3.3937 b=3.3937 c=10.6604 alpha=90.00 beta=90.00 gamma=90.16
With the nearest neighbours (Å) after each atom.
Element x y z (fractional)
K  0.0000  0.0000  0.5083  4 K 3.39
Li  0.5000  0.5000  0.7978  4 Sc 3.22, 4 Li 3.39
Sc  0.0000  0.0000  0.9996  8 Sc 3.17-3.39, 4 Li 3.22
Sc  0.5000  0.5000  0.1943  8 Sc 3.17-3.39

Q: Which of them is the most stable? A: entry x.

Entry w
KLiSc2: relaxed, GGA-PBE.

## Properties
Total magnetic moment ... 0.5 Bohr magnetons per cell

Unit cell a=3.4629 b=3.4629 c=9.9084 alpha=90.00 beta=90.00 gamma=90.00
With the nearest neighbours (Å) after each atom.
Element x y z (fractional)
K  0.5000  0.5000  0.2500  4 K 3.46
Li  0.5000  0.5000  0.7500  8 Sc 2.94
Sc  0.0000  0.0000  0.9136  4 Li 2.94, 1 Sc 3.24
Sc  0.0000  0.0000  0.5864  4 Li 2.94, 1 Sc 3.24

Entry x
KLiSc2: relaxed, GGA-PBE.

## Properties
Total magnetic moment ... 1.9 Bohr magnetons per cell

Unit cell a=5.4484 b=5.4484 c=5.4484 alpha=60.00 beta=60.00 gamma=60.00
With the nearest neighbours (Å) after each atom.
Element x y z (fractional)
Sc  0.2500  0.2500  0.2500  4 K 3.34, 4 Li 3.34
Sc  0.7500  0.7500  0.7500  4 K 3.34, 4 Li 3.34
K  0.5000  0.5000  0.5000  8 Sc 3.34
Li  0.0000  0.0000  0.0000  8 Sc 3.34

Q: Which of them is the most stable? A: entry w.

Entry w
KLiSc2: relaxed, GGA-PBE.

## Properties
Total magnetic moment ... 0.0 Bohr magnetons per cell

Unit cell a=3.4665 b=5.4553 c=6.1741 alpha=90.00 beta=90.00 gamma=90.00
With the nearest neighbours (Å) after each atom.
Element x y z (fractional)
K  0.5000  0.0000  0.5000  4 Li 3.23, 2 K 3.47, 4 Sc 3.54
Li  0.0000  0.5000  0.5000  4 K 3.23, 2 Li 3.47, 4 Sc 3.54
Sc  0.0000  0.0000  0.0000  6 Sc 3.23-3.47, 4 K 3.54
Sc  0.5000  0.5000  0.0000  6 Sc 3.23-3.47, 4 Li 3.54

Entry x
KLiSc2: relaxed, GGA-PBE.

## Properties
Total magnetic moment ... 0.8 Bohr magnetons per cell

Unit cell a=6.9178 b=6.9178 c=6.9178 alpha=142.85 beta=142.85 gamma=53.56
With the nearest neighbours (Å) after each atom.
Element x y z (fractional)
K  0.2500  0.7500  0.5000  4 Li 3.12
Li  0.7500  0.2500  0.5000  4 K 3.12
Sc  0.0000  0.0000  0.0000  4 Sc 3.12
Sc  0.5000  0.5000  0.0000  4 Sc 3.12

Entry y
KLiSc2: relaxed, GGA-PBE.

## Properties
Total magnetic moment ... 0.0 Bohr magnetons per cell

Unit cell a=3.2238 b=3.2238 c=12.0483 alpha=90.00 beta=90.00 gamma=113.58
With the nearest neighbours (Å) after each atom.
Element x y z (fractional)
K  0.5000  0.5000  0.2500  6 K 3.22-3.53
Li  0.5000  0.5000  0.7500  4 Sc 3.10, 4 Li 3.22
Sc  0.0000  0.0000  0.9612  2 Li 3.10, 4 Sc 3.22
Sc  0.0000  0.0000  0.5388  2 Li 3.10, 4 Sc 3.22

Entry z
KLiSc2: relaxed, GGA-PBE.

## Properties
Total magnetic moment ... 0.8 Bohr magnetons per cell

Unit cell a=4.4282 b=4.4282 c=6.0449 alpha=90.00 beta=90.00 gamma=90.00
With the nearest neighbours (Å) after each atom.
Element x y z (fractional)
K  0.5000  0.0000  0.5000  4 Li 3.13
Li  0.0000  0.5000  0.5000  4 K 3.13
Sc  0.0000  0.0000  0.0000  4 Sc 3.13
Sc  0.5000  0.5000  0.0000  4 Sc 3.13

Q: Which of them is the most stable? A: entry y.

Entry w
KLiSc2: relaxed, GGA-PBE.

## Properties
Total magnetic moment ... 1.5 Bohr magnetons per cell

Unit cell a=6.7162 b=6.7162 c=6.7162 alpha=150.82 beta=125.30 gamma=63.19
With the nearest neighbours (Å) after each atom.
Element x y z (fractional)
K  0.5195  0.5195  0.0000  2 Li 3.28, 2 K 3.38, 4 Sc 3.53
Li  0.7651  0.2651  0.5000  2 Sc 3.08, 2 K 3.28, 2 Li 3.38
Sc  0.9903  0.9903  0.0000  2 Li 3.08, 4 Sc 3.17-3.38
Sc  0.2250  0.7250  0.5000  4 Sc 3.17-3.38, 4 Li 3.55

Entry x
KLiSc2: relaxed, GGA-PBE.

## Properties
Total magnetic moment ... 0.6 Bohr magnetons per cell

Unit cell a=11.8588 b=11.8588 c=11.8588 alpha=16.65 beta=16.65 gamma=16.65
With the nearest neighbours (Å) after each atom.
Element x y z (fractional)
K  0.4983  0.4983  0.4983  6 K 3.43, 3 Li 3.81
Li  0.7388  0.7388  0.7388  3 Sc 3.22, 6 Li 3.43
Sc  0.9998  0.9998  0.9998  9 Sc 3.16-3.43, 3 Li 3.22
Sc  0.2631  0.2631  0.2631  9 Sc 3.16-3.43

Q: Which of them is the most stable? A: entry x.

Entry w
KLi3Sc: relaxed, GGA-PBE.

## Properties
Total magnetic moment ... 0.0 Bohr magnetons per cell

Unit cell a=5.1640 b=5.1640 c=5.1640 alpha=90.00 beta=90.00 gamma=90.00
With the nearest neighbours (Å) after each atom.
Element x y z (fractional)
Sc  0.5000  0.5000  0.5000  12 Li 3.65
K  0.0000  0.0000  0.0000  6 Li 2.58
Li  0.0000  0.5000  0.0000  2 K 2.58
Li  0.0000  0.0000  0.5000  2 K 2.58
Li  0.5000  0.0000  0.0000  2 K 2.58

Entry x
KLi3Sc: relaxed, GGA-PBE.

## Properties
Total magnetic moment ... 1.8 Bohr magnetons per cell

Unit cell a=5.8458 b=5.8458 c=5.8458 alpha=90.00 beta=90.00 gamma=90.00
With the nearest neighbours (Å) after each atom.
Element x y z (fractional)
Sc  0.0000  0.0000  0.0000  6 Li 2.92
K  0.5000  0.5000  0.5000  12 Li 4.13
Li  0.0000  0.5000  0.0000  2 Sc 2.92
Li  0.0000  0.0000  0.5000  2 Sc 2.92
Li  0.5000  0.0000  0.0000  2 Sc 2.92

Q: Which of them is the most stable? A: entry x.